[1]
## Mg2SiAs (PBE)

Data for a relaxed Mg2SiAs crystal.

```
4
Lattice="4.7913 -0.0098 -0.0880 -1.1614 4.6484 -0.0880 0.0637 0.0814 3.3873" Properties=species:S:1:pos:R:3 pbc="T T T"
As -0.5488 2.3649 1.6497
Mg 1.8150 2.3193 -0.0880
Mg 0.0000 0.0000 0.0000
Si 2.4275 0.0358 1.6497
```

=====

[2]
## Mg2SiAs (PBE)

Data for a relaxed Mg2SiAs crystal.

```
4
Lattice="-6.6871 4.5927 0.4287 -7.4738 1.9942 2.4818 -5.6147 4.5911 3.6593" Properties=species:S:1:pos:R:3 pbc="T T T"
Mg -9.8997 5.5957 3.2888
Mg -19.7637 11.1712 6.5658
Si -4.9439 2.7945 1.6424
As -14.8317 8.3835 4.9273
```

=====

Which total energy belongs to each record? In order, -3.37; -3.35 eV per atom.
Which magnetization belongs to each record? In order, 0.000; 0.000 μB/atom.
Which formation energy without anion corrections belongs to each record? In order, -0.057; -0.033 eV per atom.